No. 1
# PBE-GGA KMgAl, relaxed
# Formation energy, meV per atom: 137.5
data_KMgAl
_cell_length_a 3.305
_cell_length_b 4.806
_cell_length_c 12.664
_cell_angle_alpha 82.18
_cell_angle_beta 89.27
_cell_angle_gamma 88.71
_space_group_name_H-M_alt 'P -1'
_space_group_IT_number 2
_space_group_name_Hall '-P 1'
loop_
_atom_site_label
_atom_site_fract_x
_atom_site_fract_y
_atom_site_fract_z
K1 0.233 0.306 0.346
Mg1 0.246 0.892 0.111
Al1 0.253 0.597 0.911


No. 2
# PBE-GGA Ce3Zn2Cu9, relaxed
# Formation energy, meV per atom: -148.1
data_Ce3Zn2Cu9
_cell_length_a 4.250
_cell_length_b 8.679
_cell_length_c 12.701
_cell_angle_alpha 90.00
_cell_angle_beta 90.00
_cell_angle_gamma 90.00
_space_group_name_H-M_alt 'I m m m'
_space_group_IT_number 71
_space_group_name_Hall '-I 2 2'
loop_
_atom_site_label
_atom_site_fract_x
_atom_site_fract_y
_atom_site_fract_z
Ce1 0.000 0.000 0.000
Ce2 0.000 0.000 0.295
Zn1 0.000 0.193 0.500
Cu1 0.000 0.286 0.128
Cu2 0.000 0.354 0.332
Cu3 0.000 0.500 0.000


No. 3
# PBE-GGA RuW3Cl, relaxed
# ΔE_f (raw), eV/atom: 2.204
data_RuW3Cl
_cell_length_a 4.767
_cell_length_b 4.767
_cell_length_c 4.767
_cell_angle_alpha 90.00
_cell_angle_beta 90.00
_cell_angle_gamma 90.00
_space_group_name_H-M_alt 'P m -3 m'
_space_group_IT_number 221
_space_group_name_Hall '-P 4 2 3'
loop_
_atom_site_label
_atom_site_fract_x
_atom_site_fract_y
_atom_site_fract_z
Ru1 0.000 0.000 0.000
W1 0.000 0.000 0.500
Cl1 0.500 0.500 0.500


No. 4
# PBE-GGA PaCd2GeO8, relaxed
# ΔE_f (raw), eV/atom: -1.290
data_PaCd2GeO8
_cell_length_a 6.1690
_cell_length_b 6.1690
_cell_length_c 5.7161
_cell_angle_alpha 90.00
_cell_angle_beta 90.00
_cell_angle_gamma 120.00
_space_group_name_H-M_alt 'P -3 m 1'
_space_group_IT_number 164
_space_group_name_Hall '-P 3 2"'
loop_
_atom_site_label
_atom_site_fract_x
_atom_site_fract_y
_atom_site_fract_z
Pa1 0.0000 0.0000 0.0000
Cd1 0.3333 0.6667 0.5872
Ge1 0.0000 0.0000 0.5000
O1 0.1401 0.2803 0.7155
O2 0.3333 0.6667 0.2017


No. 5
# PBE-GGA Nd8HoEr6, relaxed
# Formation energy, meV per atom: 126.9
data_Nd8HoEr6
_cell_length_a 9.1049
_cell_length_b 9.1049
_cell_length_c 20.9287
_cell_angle_alpha 90.00
_cell_angle_beta 90.00
_cell_angle_gamma 120.00
_space_group_name_H-M_alt 'R -3'
_space_group_IT_number 148
_space_group_name_Hall '-R 3'
loop_
_atom_site_label
_atom_site_fract_x
_atom_site_fract_y
_atom_site_fract_z
Nd1 0.0000 0.0000 0.0779
Nd2 0.0809 0.5228 0.3064
Ho1 0.0000 0.0000 0.5000
Er1 0.0465 0.8020 0.2053


No. 6
# PBE-GGA Sr3TlCd, relaxed
# Formation energy, meV per atom: 23.9
data_Sr3TlCd
_cell_length_a 6.387
_cell_length_b 6.387
_cell_length_c 6.387
_cell_angle_alpha 90.00
_cell_angle_beta 90.00
_cell_angle_gamma 90.00
_space_group_name_H-M_alt 'P m -3 m'
_space_group_IT_number 221
_space_group_name_Hall '-P 4 2 3'
loop_
_atom_site_label
_atom_site_fract_x
_atom_site_fract_y
_atom_site_fract_z
Sr1 0.000 0.000 0.500
Tl1 0.000 0.000 0.000
Cd1 0.500 0.500 0.500


| no. | magnetization (μB per formula unit) | Fermi-level density of states (states/eV/cell) |
| --- | --- | --- |
| 1 | 0.00 | 2.696 |
| 2 | 1.61 | 38.176 |
| 3 | 0.00 | 7.607 |
| 4 | 3.00 | 6.449 |
| 5 | 0.00 | 68.630 |
| 6 | 0.00 | 8.651 |